# 1
A plane-wave DFT calculation with PBE+U was carried out for a relaxed Cd2MoBrO4 crystal.

abc: 3.2428 5.5323 8.7455
angles: 79.29 79.32 72.96
Closest atoms and distances in Å follow each position.
Positions (direct):
Cd: 0.8497 0.5294 0.7712  4 O 2.22-2.49
Cd: 0.1503 0.4706 0.2288  4 O 2.22-2.49
Mo: 0.0000 0.0000 0.0000  6 O 1.91-2.10
Br: 0.5000 0.5000 0.5000  4 Cd 2.86
O: 0.1905 0.7728 0.8461  1 Mo 1.91
O: 0.4556 0.2006 0.8882  2 Mo 2.10
O: 0.8095 0.2272 0.1539  1 Mo 1.91
O: 0.5444 0.7994 0.1118  2 Mo 2.10

Output
Total magnetization in μB per atom: 0.125
Final energy in eV/atom: -4.932
Symmetry: C2/m
Crystal system: monoclinic

---

# 2
A plane-wave DFT calculation with PBE+U was carried out for a relaxed Cd2MoBrO crystal.

abc: 4.3882 4.3882 6.8211
angles: 90.00 90.00 90.00
Closest atoms and distances in Å follow each position.
Positions (direct):
Mo: 0.5000 0.5000 0.5000  4 Br 3.10
O: 0.0000 0.0000 0.0000  4 Cd 2.19
Br: 0.0000 0.0000 0.5000  4 Mo 3.10, 2 O 3.41
Cd: 0.0000 0.5000 0.0000  2 O 2.19
Cd: 0.5000 0.0000 0.0000  2 O 2.19

Output
D(E_F) in states/eV per cell: 0.96
Total magnetization in μB per atom: 1.000
Final energy in eV/atom: -2.979
Symmetry: P4/mmm
Crystal system: tetragonal

---

# 3
A plane-wave DFT calculation with PBE+U was carried out for a relaxed CdMoBrO4 crystal.

abc: 6.6983 6.6983 7.7815
angles: 77.93 77.93 58.10
Closest atoms and distances in Å follow each position.
Positions (direct):
Cd: 0.2924 0.2924 0.7706  4 O 2.17-2.23
Cd: 0.7076 0.7076 0.2294  4 O 2.17-2.23
Mo: 0.6242 0.6242 0.7600  4 O 1.78-1.81
Mo: 0.3758 0.3758 0.2400  4 O 1.78-1.81
Br: 0.0251 0.0251 0.3477  1 Br 2.30
Br: 0.9749 0.9749 0.6523  1 Br 2.30
O: 0.3320 0.3320 0.4751  1 Mo 1.78
O: 0.6680 0.6680 0.5249  1 Mo 1.78
O: 0.0908 0.5419 0.1584  1 Mo 1.80
O: 0.5344 0.5344 0.1739  1 Mo 1.81
O: 0.4581 0.9092 0.8416  1 Mo 1.80
O: 0.5419 0.0908 0.1584  1 Mo 1.80
O: 0.4656 0.4656 0.8261  1 Mo 1.81
O: 0.9092 0.4581 0.8416  1 Mo 1.80

Output
D(E_F) in states/eV per cell: 0.00
Total magnetization in μB per atom: 0.000
Final energy in eV/atom: -5.415
Symmetry: C2/m
Crystal system: monoclinic

---

Which of these has the highest total magnetization? Cd2MoBrO

---

Look up the total magnetization of the third one. 0.000 μB per atom

---

The highest total magnetization belongs to which entry? Cd2MoBrO

---

The highest final energy belongs to which entry? Cd2MoBrO